Computed, not measured: ZrCuOs2 after structural relaxation at the PBE-GGA level of DFT.

a b c (Å): 4.9382 4.9382 4.9382
angles (deg): 133.24 133.24 68.28
Last column: nearest neighbours and their distance in Å.
Element x y z (fractional)
Zr 0.0000 0.0000 0.0000  4 Cu 2.77, 8 Os 2.83
Cu 0.5000 0.5000 0.0000  4 Zr 2.77, 8 Os 2.83
Os 0.2500 0.7500 0.5000  4 Os 2.77, 4 Cu 2.83, 4 Zr 2.83
Os 0.7500 0.2500 0.5000  4 Os 2.77, 4 Cu 2.83, 4 Zr 2.83

ΔE_f in eV/atom: 0.14
Relative energy among the computed polymorphs in meV per atom: 140

***

Computed, not measured: ZrCu2Os after structural relaxation at the PBE-GGA level of DFT.

a b c (Å): 2.7392 4.2446 5.2487
angles (deg): 90.00 99.81 90.00
Last column: nearest neighbours and their distance in Å.
Element x y z (fractional)
Zr 0.0000 0.0000 0.0000  7 Cu 2.67-2.90, 2 Zr 2.74, 2 Os 2.76
Cu 0.5778 0.5000 0.2571  2 Cu 2.45, 2 Os 2.69-2.73
Cu 0.6566 0.0000 0.4920  2 Cu 2.45, 1 Zr 2.67
Os 0.2397 0.5000 0.7093  7 Cu 2.69-2.87, 2 Os 2.74, 2 Zr 2.76

ΔE_f in eV/atom: 0.05
Relative energy among the computed polymorphs in meV per atom: 134

***

Computed, not measured: ZrCuOs2 after structural relaxation at the PBE-GGA level of DFT.

a b c (Å): 3.9454 3.9454 3.9651
angles (deg): 90.00 90.00 90.00
Last column: nearest neighbours and their distance in Å.
Element x y z (fractional)
Zr 0.0000 0.0000 0.0000  4 Cu 2.79, 8 Os 2.80
Cu 0.5000 0.5000 0.0000  4 Zr 2.79, 8 Os 2.80
Os 0.0000 0.5000 0.5000  4 Os 2.79, 4 Zr 2.80, 4 Cu 2.80
Os 0.5000 0.0000 0.5000  4 Os 2.79, 4 Zr 2.80, 4 Cu 2.80

ΔE_f in eV/atom: 0.00
Relative energy among the computed polymorphs in meV per atom: 0